{"formula": "Ti2HPd", "functional": "meta-GGA SCAN", "state": "single point on PBEsol structure", "cell": [[2.862, 0.000, 0.000], [0.000, 2.862, 0.000], [0.000, 0.000, 11.681]], "species": ["Pd", "Pd", "Ti", "Ti", "Ti", "Ti", "H", "H"], "fractional_positions": [[0.500, 0.500, 0.500], [0.000, 0.000, 0.000], [0.500, 0.500, 0.158], [0.000, 0.000, 0.333], [0.000, 0.000, 0.667], [0.500, 0.500, 0.842], [0.500, 0.500, 0.680], [0.500, 0.500, 0.320]], "total_energy_ev_per_cell": -140.674}

---

{"formula": "KZr2Os", "functional": "meta-GGA SCAN", "state": "single point on PBEsol structure", "cell": [[3.277, 0.000, 0.000], [0.000, 4.298, 0.000], [-1.638, -2.149, 8.417]], "species": ["K", "Os", "Zr", "Zr"], "fractional_positions": [[0.578, 0.578, 0.156], [0.273, 0.773, 0.546], [0.758, 0.258, 0.516], [0.891, 0.891, 0.781]], "total_energy_ev_per_cell": -140.445}

---

{"formula": "IrSeBr2", "functional": "meta-GGA SCAN", "state": "single point on PBEsol structure", "cell": [[-0.935, 4.480, 0.079], [-7.477, 0.802, -1.443], [-1.893, 1.816, 7.194]], "species": ["Se", "Se", "Ir", "Ir", "Br", "Br", "Br", "Br"], "fractional_positions": [[0.250, 0.500, 0.500], [0.500, 0.000, 0.000], [0.750, 0.500, 0.500], [0.000, 0.000, 0.000], [0.875, 0.750, 0.250], [0.875, 0.250, 0.250], [0.875, 0.250, 0.750], [0.375, 0.750, 0.750]], "raw_formation_energy_mev_per_atom": 362}

---

{"formula": "CaGdHg2", "functional": "meta-GGA SCAN", "state": "single point on PBEsol structure", "cell": [[5.214, 0.000, 0.000], [2.607, 4.516, 0.000], [2.607, 1.505, 4.257]], "species": ["Hg", "Hg", "Ca", "Gd"], "fractional_positions": [[0.250, 0.250, 0.250], [0.750, 0.750, 0.750], [0.500, 0.500, 0.500], [0.000, 0.000, 0.000]], "total_energy_ev_per_cell": -207.629}

---

{"formula": "NaZr2HRu", "functional": "meta-GGA SCAN", "state": "single point on PBEsol structure", "cell": [[3.699, 0.000, 0.000], [0.000, 4.522, 0.000], [0.000, 0.000, 4.522]], "species": ["Zr", "Zr", "Na", "H", "Ru"], "fractional_positions": [[0.000, 0.000, 0.500], [0.000, 0.500, 0.000], [0.500, 0.000, 0.000], [0.000, 0.000, 0.000], [0.500, 0.500, 0.500]], "total_energy_ev_per_cell": -103.690}